Below is Tm4Sc9Cd11 after structural relaxation, with properties calculated at the GGA-PBE level.

The structure in extended XYZ format:
```
24
Lattice="3.2980 0.0000 0.0000 0.0000 12.5018 -4.9888 0.0000 0.3256 13.4564" Properties=species:S:1:pos:R:3 pbc="T T T"
Tm 1.6490 7.5932 7.1721
Tm 1.6490 5.2341 1.2956
Tm 1.6490 9.5791 4.1638
Tm 1.6490 3.2483 4.3039
Sc 1.6490 7.7256 -0.9132
Sc 1.6490 5.1017 9.3809
Sc 1.6490 2.1964 7.4629
Sc 1.6490 10.6310 1.0047
Sc 1.6490 10.2742 9.3437
Sc 1.6490 2.5532 -0.8761
Sc 1.6490 12.6296 5.7757
Sc 1.6490 0.1978 2.6920
Sc 1.6490 6.4137 4.2338
Cd 0.0000 7.7115 9.9345
Cd 0.0000 5.1159 -1.4668
Cd 0.0000 12.1657 3.1870
Cd 0.0000 0.6617 5.2807
Cd 0.0000 7.9812 1.8593
Cd 0.0000 4.8462 6.6084
Cd 0.0000 10.2288 -1.5455
Cd 0.0000 2.5986 10.0132
Cd 0.0000 0.0000 0.0000
Cd 0.0000 10.2790 6.7854
Cd 0.0000 2.5484 1.6823
```

The value obtained for the formation energy is -474 kJ/mol of formula units. The space group is No. 65. The value obtained for the volume is 560 Å³/f.u. The density of states at the Fermi level is 27.0 states/eV/f.u. The magnetic moment is 2.23 Bohr magnetons per cell.



Below is NdDyHoAg after structural relaxation, with properties calculated at the GGA-PBE level.

The structure in extended XYZ format:
```
4
Lattice="-2.3626 4.7481 -1.1598 -4.9970 0.0993 -2.1194 -4.1808 1.7527 2.9866" Properties=species:S:1:pos:R:3 pbc="T T T"
Nd -5.7702 3.3001 -0.1463
Ho -8.6553 4.9501 -0.2194
Ag -2.8851 1.6500 -0.0731
Dy 0.0000 0.0000 0.0000
```

The value obtained for the formation energy is 25 kJ/mol of formula units. As for the energy above the lowest structure with this stoichiometry: 0.80 eV/f.u. The space group is No. 216. The value obtained for the volume is 113 Å³/f.u. The density of states at the Fermi level is 4.1 states/eV/f.u. The magnetic moment is 0.00 Bohr magnetons per cell.



Below is PuNi12P6 after structural relaxation, with properties calculated at the GGA-PBE level.

The structure in extended XYZ format:
```
19
Lattice="-1.7594 -6.0054 1.5490 5.4024 0.9205 3.3952 -4.3402 3.6804 3.0294" Properties=species:S:1:pos:R:3 pbc="T T T"
Pu 0.0000 0.0000 0.0000
Ni -3.0162 -3.2820 3.2991
Ni -0.8641 -2.4183 4.7677
Ni -1.5747 0.2488 5.1753
Ni -1.8052 -0.8933 2.6975
Ni 0.8775 -1.6533 2.7983
Ni 0.1669 1.0138 3.2059
Ni -1.3099 2.9055 4.5382
Ni 3.2802 -1.7302 4.1230
Ni 2.3189 1.8775 4.6744
Ni 0.6127 -4.3099 3.4354
Ni -3.9774 0.3258 3.8506
Ni 1.1080 -0.5112 5.2760
P -0.9405 -2.9801 2.5644
P -2.0788 1.2920 3.2173
P 2.2183 0.0747 3.3786
P 1.3816 -2.6964 4.7563
P 0.2433 1.5757 5.4092
P -2.9155 -1.4791 4.5949
```

The value obtained for the formation energy is -898 kJ/mol of formula units. The space group is No. 166. The value obtained for the volume is 241 Å³/f.u. The density of states at the Fermi level is 21.3 states/eV/f.u. The magnetic moment is 6.08 Bohr magnetons per cell.